[1]
The following is a PBE calculation of PtPb3 after structural relaxation, from Alexandria via LeMat-Bulk.

a b c (Å): 4.814 4.814 17.936
angles (deg): 90.00 90.00 90.00
Space group I4/mmm (No. 139)
One atom of each set of equivalent atoms:
1 Pt 0.000 0.000 0.142 (multiplicity 4)
2 Pb 0.000 0.000 0.376 (multiplicity 4)
3 Pb 0.000 0.500 0.000 (multiplicity 4)
4 Pb 0.000 0.500 0.250 (multiplicity 4)

Polymorph energy (0 for the lowest one) in meV/atom: 230.2
D(E_F) in states/eV/f.u.: 1.79
Final energy in eV for the cell shown: -67.2
Formation enthalpy at 0 K in eV/f.u.: 0.36

***

[2]
The following is a PBE calculation of Pt8Pb after structural relaxation, from Alexandria via LeMat-Bulk.

a b c (Å): 10.295 10.295 2.834
angles (deg): 90.00 90.00 90.00
Space group I4/mmm (No. 139)
One atom of each set of equivalent atoms:
1 Pt 0.000 0.335 0.000 (multiplicity 8)
2 Pt 0.169 0.169 0.500 (multiplicity 8)
3 Pb 0.000 0.000 0.000 (multiplicity 2)

D(E_F) in states/eV/f.u.: 9.70
Final energy in eV for the cell shown: -103.2
Formation enthalpy at 0 K in eV/f.u.: 0.43

***

[3]
The following is a PBE calculation of Pt5Pb after structural relaxation, from Alexandria via LeMat-Bulk.

a b c (Å): 7.589 7.589 7.589
angles (deg): 90.00 90.00 90.00
Space group F-43m (No. 216)
One atom of each set of equivalent atoms:
1 Pt 0.000 0.000 0.000 (multiplicity 4)
2 Pt 0.126 0.126 0.374 (multiplicity 16)
3 Pb 0.250 0.250 0.750 (multiplicity 4)

D(E_F) in states/eV/f.u.: 5.18
Final energy in eV for the cell shown: -132.9
Formation enthalpy at 0 K in eV/f.u.: 0.68